Entry 1:
! Nd3SmHo2Er6 PBE optimized geometry; values from VASP
! Raw total energy (eV/atom): -4.6105
! Energy of formation from the pure elements (kJ/mol of formula units): 22.1
&SYSTEM
  ibrav = 0, nat = 12, ntyp = 4
/
ATOMIC_SPECIES
Nd 144.24 Nd.upf
Sm 150.36 Sm.upf
Ho 164.93 Ho.upf
Er 167.26 Er.upf
CELL_PARAMETERS angstrom
-4.178 -1.493 -4.300
2.897 -4.446 3.164
-7.914 2.240 8.387
ATOMIC_POSITIONS angstrom
Nd -2.240 -2.833 6.113
Nd -6.955 -0.866 1.139
Nd -4.598 -1.849 3.626
Sm 0.000 0.000 0.000
Ho 0.539 -3.462 0.677
Ho -1.820 -2.477 -1.812
Er -8.101 -2.279 4.218
Er -2.914 -3.893 1.222
Er -1.094 -1.420 3.034
Er -5.741 -3.264 6.708
Er -6.281 0.195 6.030
Er -3.454 -0.435 0.543

=====

Entry 2:
! Sc5PbC PBE optimized geometry; values from VASP
! Raw total energy (eV/atom): -6.6556
! Energy of formation from the pure elements (kJ/mol of formula units): -192.9
&SYSTEM
  ibrav = 0, nat = 14, ntyp = 3
/
ATOMIC_SPECIES
Sc 44.96 Sc.upf
Pb 207.20 Pb.upf
C 12.01 C.upf
CELL_PARAMETERS angstrom
-4.247 1.830 -4.529
-6.289 -1.445 0.511
-4.889 7.371 2.809
ATOMIC_POSITIONS angstrom
Sc -4.573 -0.137 0.072
Sc -7.018 3.546 1.468
Sc -5.989 5.198 -1.062
Sc -5.470 3.672 -3.825
Sc -11.876 6.252 1.258
Sc -3.549 1.504 -2.466
Sc -9.955 4.084 2.617
Sc -9.436 2.558 -0.147
Sc -8.407 4.210 -2.676
Sc -10.852 7.893 -1.280
Pb -6.490 2.036 -1.307
Pb -8.935 5.720 0.099
C 0.000 0.000 0.000
C -2.444 3.686 1.405

=====

Entry 3:
! CeGdIrOs PBE optimized geometry; values from VASP
! Raw total energy (eV/atom): -10.3966
! Energy of formation from the pure elements (kJ/mol of formula units): -142.9
&SYSTEM
  ibrav = 0, nat = 4, ntyp = 4
/
ATOMIC_SPECIES
Gd 157.25 Gd.upf
Ir 192.22 Ir.upf
Os 190.23 Os.upf
Ce 140.12 Ce.upf
CELL_PARAMETERS angstrom
4.903 0.000 0.000
2.452 4.246 0.000
2.452 1.415 4.003
ATOMIC_POSITIONS angstrom
Gd 7.355 4.246 3.003
Ir 0.000 0.000 0.000
Os 4.903 2.831 2.002
Ce 2.452 1.415 1.001

=====

Entry 4:
! Pm8As3S3N PBE optimized geometry; values from VASP
! Formation energy without anion corrections (eV per atom): -1.58
! Raw total energy (eV/atom): -6.4215
&SYSTEM
  ibrav = 0, nat = 15, ntyp = 4
/
ATOMIC_SPECIES
Pm 145.00 Pm.upf
As 74.92 As.upf
S 32.06 S.upf
N 14.01 N.upf
CELL_PARAMETERS angstrom
8.169 0.000 0.000
-4.084 7.074 -0.025
0.000 -4.693 6.701
ATOMIC_POSITIONS angstrom
Pm 0.000 2.364 1.686
Pm 4.084 0.017 4.991
Pm 4.084 2.596 1.858
Pm 0.000 -0.214 4.819
Pm 6.327 -1.288 1.871
Pm -2.242 3.669 4.805
Pm 1.842 -1.288 1.871
Pm 2.242 3.669 4.805
As 0.000 0.000 0.000
As -2.042 3.537 -0.012
As 2.042 3.537 -0.012
S 4.084 -2.347 3.350
S 2.042 1.191 3.338
S -2.042 1.191 3.338
N 0.000 -2.347 3.350

=====

Entry 5:
! LuZrInGa PBE optimized geometry; values from VASP
! Raw total energy (eV/atom): -5.0171
! Energy of formation from the pure elements (kJ/mol of formula units): -119.1
&SYSTEM
  ibrav = 0, nat = 4, ntyp = 4
/
ATOMIC_SPECIES
Lu 174.97 Lu.upf
Ga 69.72 Ga.upf
Zr 91.22 Zr.upf
In 114.82 In.upf
CELL_PARAMETERS angstrom
4.999 0.000 0.000
2.499 4.329 0.000
2.499 1.443 4.081
ATOMIC_POSITIONS angstrom
Lu 0.000 0.000 0.000
Ga 2.499 1.443 1.020
Zr 4.999 2.886 2.041
In 7.498 4.329 3.061

=====

Entry 6:
! Cd2HgTeO6 PBE optimized geometry; values from VASP
! Formation energy without anion corrections (eV per atom): -0.91
! Raw total energy (eV/atom): -4.4110
&SYSTEM
  ibrav = 0, nat = 10, ntyp = 4
/
ATOMIC_SPECIES
Cd 112.41 Cd.upf
Hg 200.59 Hg.upf
Te 127.60 Te.upf
O 16.00 O.upf
CELL_PARAMETERS angstrom
-0.853 -4.361 3.641
3.879 -4.220 0.386
3.477 -0.253 5.044
ATOMIC_POSITIONS angstrom
Cd 2.988 -4.696 4.140
Cd 3.417 -0.316 4.954
Hg 4.835 -6.671 6.740
Te 1.049 -2.818 1.403
O 1.234 -3.583 3.171
O 4.282 -5.301 2.348
O 2.051 -6.678 4.807
O 4.988 -4.821 5.538
O 2.660 -3.859 6.412
O 4.039 -2.530 4.556

=====

Entry 7:
! Mg2MnTcIr PBE optimized geometry; values from VASP
! Raw total energy (eV/atom): -5.3427
! Energy of formation from the pure elements (kJ/mol of formula units): 470.1
&SYSTEM
  ibrav = 0, nat = 5, ntyp = 4
/
ATOMIC_SPECIES
Mg 24.30 Mg.upf
Ir 192.22 Ir.upf
Tc 98.00 Tc.upf
Mn 54.94 Mn.upf
CELL_PARAMETERS angstrom
-1.305 1.920 4.237
-1.806 -4.223 1.357
4.280 -1.227 1.874
ATOMIC_POSITIONS angstrom
Mg 2.140 -0.614 0.937
Mg -0.652 0.960 2.118
Ir 0.000 0.000 0.000
Tc 0.585 -1.765 3.734
Mn -0.903 -2.112 0.679